1.
{"formula": "MnInFe2C", "functional": "GGA-PBE", "state": "optimized geometry", "cell": [[3.885, 0.000, 0.000], [0.000, 3.885, 0.000], [0.000, 0.000, 3.898]], "species": ["C", "In", "Fe", "Fe", "Mn"], "fractional_positions": [[0.000, 0.000, 0.000], [0.500, 0.500, 0.500], [0.500, 0.000, 0.000], [0.000, 0.500, 0.000], [0.000, 0.000, 0.500]], "formation_energy_ev_per_atom": 0.05, "crystal_system": "tetragonal", "magnetic_moment_mub_per_cell": 4.18}

2.
{"formula": "InFe2MoC", "functional": "GGA-PBE", "state": "optimized geometry", "cell": [[-2.014, -1.754, 2.941], [-2.359, -1.763, -2.666], [2.614, -3.262, -0.155]], "species": ["Fe", "Fe", "In", "C", "Mo"], "fractional_positions": [[0.500, 0.000, 0.000], [0.000, 0.500, 0.000], [0.500, 0.500, 0.500], [0.000, 0.000, 0.000], [0.000, 0.000, 0.500]], "formation_energy_ev_per_atom": 0.12, "crystal_system": "tetragonal", "magnetic_moment_mub_per_cell": 4.51}

3.
{"formula": "InFe2OsC", "functional": "GGA-PBE", "state": "optimized geometry", "cell": [[3.959, 0.000, 0.000], [0.000, 3.959, 0.000], [0.000, 0.000, 4.051]], "species": ["Fe", "Fe", "In", "Os", "C"], "fractional_positions": [[0.000, 0.500, 0.000], [0.500, 0.000, 0.000], [0.500, 0.500, 0.500], [0.000, 0.000, 0.500], [0.000, 0.000, 0.000]], "formation_energy_ev_per_atom": 0.20, "crystal_system": "tetragonal", "magnetic_moment_mub_per_cell": 3.46}

4.
{"formula": "InFe2ReC", "functional": "GGA-PBE", "state": "optimized geometry", "cell": [[-2.599, 2.711, -1.315], [-1.689, 0.129, 3.601], [2.557, 2.981, 1.092]], "species": ["In", "C", "Fe", "Fe", "Re"], "fractional_positions": [[0.500, 0.500, 0.500], [0.000, 0.000, 0.000], [0.500, 0.000, 0.000], [0.000, 0.500, 0.000], [0.000, 0.000, 0.500]], "formation_energy_ev_per_atom": 0.19, "crystal_system": "tetragonal", "magnetic_moment_mub_per_cell": 3.91}

5.
{"formula": "InFeRhC2", "functional": "GGA-PBE", "state": "optimized geometry", "cell": [[4.158, 0.000, 0.000], [0.000, 4.828, 0.000], [0.000, 0.000, 4.158]], "species": ["Rh", "C", "C", "Fe", "In"], "fractional_positions": [[0.500, 0.500, 0.500], [0.000, 0.000, 0.500], [0.500, 0.000, 0.000], [0.000, 0.500, 0.000], [0.000, 0.000, 0.000]], "formation_energy_ev_per_atom": 3.08, "crystal_system": "tetragonal", "magnetic_moment_mub_per_cell": 0.06}

6.
{"formula": "InFeRhC2", "functional": "GGA-PBE", "state": "optimized geometry", "cell": [[-1.599, 3.813, -0.558], [-4.137, -2.028, -1.999], [-1.743, -0.177, 3.787]], "species": ["C", "C", "Fe", "In", "Rh"], "fractional_positions": [[0.500, 0.000, 0.000], [0.000, 0.000, 0.500], [0.500, 0.500, 0.500], [0.000, 0.000, 0.000], [0.000, 0.500, 0.000]], "formation_energy_ev_per_atom": 3.08, "crystal_system": "tetragonal", "magnetic_moment_mub_per_cell": 0.15}

7.
{"formula": "InFeRu2C", "functional": "GGA-PBE", "state": "optimized geometry", "cell": [[-0.904, -3.560, -1.891], [2.189, -2.061, 2.834], [-3.179, -0.358, 2.195]], "species": ["Fe", "Ru", "Ru", "In", "C"], "fractional_positions": [[0.000, 0.000, 0.500], [0.500, 0.000, 0.000], [0.000, 0.500, 0.000], [0.500, 0.500, 0.500], [0.000, 0.000, 0.000]], "formation_energy_ev_per_atom": 0.09, "crystal_system": "tetragonal", "magnetic_moment_mub_per_cell": 2.26}

8.
{"formula": "InFeSiC2", "functional": "GGA-PBE", "state": "optimized geometry", "cell": [[-0.390, 1.694, 3.315], [-3.843, -2.824, 0.992], [2.267, -2.535, 1.563]], "species": ["In", "Si", "Fe", "C", "C"], "fractional_positions": [[0.500, 0.500, 0.500], [0.000, 0.000, 0.000], [0.000, 0.500, 0.000], [0.500, 0.000, 0.000], [0.000, 0.000, 0.500]], "formation_energy_uncorrected_ev_per_atom": 1.541, "crystal_system": "tetragonal", "magnetic_moment_mub_per_cell": 2.03}